VASP calculation (GGA-PBE) on crystalline ScTe2Se at its relaxed geometry.

a b c (Å): 4.8649 4.2039 5.6177
angles (deg): 65.83 90.00 90.00
Fractional positions:
Sc 0.0000 0.6867 0.5094
Se 0.5000 0.5874 0.7526
Te 0.0000 0.9755 0.9292
Te 0.5000 0.2503 0.3087

Energy relative to the elements, uncorrected: -231 kJ/mol of formula units
Total magnetization: 0.000 μB/cell
Raw total energy: -18.50 eV per cell
Space group: No. 6
DOS at the Fermi energy: 2.2 states/eV per cell

VASP calculation (GGA-PBE) on crystalline Sc2TeSe2 at its relaxed geometry.

a b c (Å): 3.9772 5.3972 7.1613
angles (deg): 112.14 106.12 90.00
Fractional positions:
Sc 0.6688 0.1688 0.3375
Sc 0.3312 0.8312 0.6625
Te 0.0000 0.0000 0.0000
Se 0.3137 0.3137 0.6274
Se 0.6863 0.6863 0.3726

Energy relative to the elements, uncorrected: -735 kJ/mol of formula units
Total magnetization: 0.000 μB/cell
Raw total energy: -30.40 eV per cell
Space group: No. 71
Energy relative to the lowest polymorph listed for this composition: 0 meV per atom

VASP calculation (GGA-PBE) on crystalline ScTe2Se at its relaxed geometry.

a b c (Å): 8.3514 8.3514 8.3514
angles (deg): 27.46 27.46 27.46
Fractional positions:
Sc 0.2500 0.2500 0.2500
Se 0.7500 0.7500 0.7500
Te 0.9927 0.9927 0.9927
Te 0.5073 0.5073 0.5073

Energy relative to the elements, uncorrected: -126 kJ/mol of formula units
Total magnetization: 0.001 μB/cell
Raw total energy: -17.40 eV per cell
Space group: No. 166
DOS at the Fermi energy: 5.4 states/eV per cell

VASP calculation (GGA-PBE) on crystalline ScTeSe2 at its relaxed geometry.

a b c (Å): 3.5659 5.4182 7.1421
angles (deg): 52.77 90.00 90.00
Fractional positions:
Sc 0.5000 0.7500 0.7500
Se 0.0000 0.9699 0.9045
Se 0.0000 0.5301 0.5955
Te 0.5000 0.2500 0.2500

Energy relative to the elements, uncorrected: -291 kJ/mol of formula units
Total magnetization: 0.000 μB/cell
Raw total energy: -19.46 eV per cell
Space group: No. 10
DOS at the Fermi energy: 2.0 states/eV per cell

VASP calculation (GGA-PBE) on crystalline ScTeSe2 at its relaxed geometry.

a b c (Å): 3.8481 6.4347 4.0465
angles (deg): 90.00 90.00 90.00
Fractional positions:
Sc 0.0000 0.5000 0.5000
Se 0.0000 0.0000 0.0000
Se 0.5000 0.5000 0.0000
Te 0.5000 0.0000 0.5000

Energy relative to the elements, uncorrected: -226 kJ/mol of formula units
Total magnetization: 0.000 μB/cell
Raw total energy: -18.79 eV per cell
Space group: No. 47
DOS at the Fermi energy: 1.5 states/eV per cell

VASP calculation (GGA-PBE) on crystalline Sc4Te4Se at its relaxed geometry.

a b c (Å): 4.0501 7.0736 9.0672
angles (deg): 75.62 77.09 73.36
Fractional positions:
Sc 0.3076 0.0916 0.2932
Sc 0.6924 0.9084 0.7068
Sc 0.9082 0.2745 0.9090
Sc 0.0918 0.7255 0.0910
Te 0.6934 0.4089 0.2043
Te 0.9022 0.7922 0.4033
Te 0.3066 0.5911 0.7957
Te 0.0978 0.2078 0.5967
Se 0.5000 0.0000 0.0000

Energy relative to the elements, uncorrected: -1136 kJ/mol of formula units
Total magnetization: 0.000 μB/cell
Raw total energy: -53.15 eV per cell
Space group: No. 12
DOS at the Fermi energy: 4.3 states/eV per cell

VASP calculation (GGA-PBE) on crystalline ScTe2Se at its relaxed geometry.

a b c (Å): 6.2629 4.1524 4.1524
angles (deg): 90.00 90.00 90.00
Fractional positions:
Sc 0.5000 0.5000 0.0000
Se 0.5000 0.0000 0.5000
Te 0.0000 0.0000 0.0000
Te 0.0000 0.5000 0.5000

Energy relative to the elements, uncorrected: -166 kJ/mol of formula units
Total magnetization: 0.000 μB/cell
Raw total energy: -17.82 eV per cell
Space group: No. 123
DOS at the Fermi energy: 2.3 states/eV per cell

VASP calculation (GGA-PBE) on crystalline ScTeSe2 at its relaxed geometry.

a b c (Å): 8.8585 8.8585 8.8585
angles (deg): 25.25 25.25 25.25
Fractional positions:
Sc 0.5000 0.5000 0.5000
Te 0.0000 0.0000 0.0000
Se 0.8922 0.8922 0.8922
Se 0.1078 0.1078 0.1078

Energy relative to the elements, uncorrected: -362 kJ/mol of formula units
Total magnetization: 0.000 μB/cell
Raw total energy: -20.19 eV per cell
Space group: No. 166
DOS at the Fermi energy: 1.9 states/eV per cell

VASP calculation (GGA-PBE) on crystalline ScTeSe at its relaxed geometry.

a b c (Å): 4.8300 4.8300 4.8300
angles (deg): 60.00 60.00 60.00
Fractional positions:
Sc 0.5000 0.5000 0.5000
Se 0.7500 0.7500 0.7500
Te 0.0000 0.0000 0.0000

Energy relative to the elements, uncorrected: -111 kJ/mol of formula units
Total magnetization: 0.000 μB/cell
Raw total energy: -14.11 eV per cell
Space group: No. 216
Energy relative to the lowest polymorph listed for this composition: 845 meV per atom
DOS at the Fermi energy: 4.2 states/eV per cell

VASP calculation (GGA-PBE) on crystalline Sc3Te2Se2 at its relaxed geometry.

a b c (Å): 3.9297 6.8321 7.0164
angles (deg): 98.65 90.02 106.73
Fractional positions:
Sc 0.0000 0.0000 0.0000
Sc 0.7523 0.5044 0.2388
Sc 0.2477 0.4956 0.7612
Te 0.8809 0.7617 0.6190
Te 0.1191 0.2383 0.3810
Se 0.6262 0.2521 0.8857
Se 0.3738 0.7479 0.1143

Energy relative to the elements, uncorrected: -993 kJ/mol of formula units
Total magnetization: 0.000 μB/cell
Raw total energy: -42.54 eV per cell
Space group: No. 12
Energy relative to the lowest polymorph listed for this composition: 0 meV per atom
DOS at the Fermi energy: 2.4 states/eV per cell

VASP calculation (GGA-PBE) on crystalline ScTe2Se at its relaxed geometry.

a b c (Å): 9.8294 9.8294 9.8294
angles (deg): 22.07 22.07 22.07
Fractional positions:
Sc 0.0000 0.0000 0.0000
Te 0.9028 0.9028 0.9028
Te 0.0972 0.0972 0.0972
Se 0.5000 0.5000 0.5000

Energy relative to the elements, uncorrected: 82 kJ/mol of formula units
Total magnetization: 0.000 μB/cell
Raw total energy: -15.24 eV per cell
Space group: No. 166
DOS at the Fermi energy: 2.8 states/eV per cell

VASP calculation (GGA-PBE) on crystalline ScTeSe2 at its relaxed geometry.

a b c (Å): 6.9809 6.9809 6.9809
angles (deg): 147.09 147.09 47.22
Fractional positions:
Sc 0.7500 0.2500 0.5000
Se 0.0000 0.0000 0.0000
Se 0.2500 0.7500 0.5000
Te 0.5000 0.5000 0.0000

Energy relative to the elements, uncorrected: -226 kJ/mol of formula units
Total magnetization: 0.000 μB/cell
Raw total energy: -18.79 eV per cell
Space group: No. 119
DOS at the Fermi energy: 1.5 states/eV per cell